Entry 1:
## Cs4TbBr7 (PBE-GGA)

Data for an optimized crystal structure of Cs4TbBr7.

Cell lengths 5.5649, 11.5080, 9.7555 Å; angles 83.38, 73.43, 76.01 degrees
With the nearest neighbours (Å) after each atom.
Positions (direct):
Cs 0.6096 0.2381 0.5427  5 Br 3.65-3.94
Cs 0.3904 0.7619 0.4573  5 Br 3.65-3.94
Cs 0.7329 0.6362 0.8980  6 Br 3.47-3.89
Cs 0.2671 0.3638 0.1020  6 Br 3.47-3.89
Tb 0.0000 0.0000 0.0000  4 Br 2.69-2.78
Br 0.7271 0.8926 0.6533  1 Br 3.51, 3 Cs 3.58-3.67
Br 0.2729 0.1074 0.3467  1 Br 3.51, 3 Cs 3.58-3.67
Br 0.0484 0.7781 0.1250  1 Tb 2.69
Br 0.9516 0.2219 0.8750  1 Tb 2.69
Br 0.3740 0.5114 0.7407  5 Cs 3.47-3.76
Br 0.5000 0.0000 0.0000  2 Tb 2.78
Br 0.6260 0.4886 0.2593  5 Cs 3.47-3.76

Results
The space-group type is No. 12. The calculation puts the uncorrected formation energy at -1.619 eV per atom. Its uncorrected energy is -3.27 eV/atom.

Entry 2:
## AgRhCl5 (PBE-GGA)

Data for an optimized crystal structure of AgRhCl5.

Cell lengths 7.0950, 7.0950, 8.8151 Å; angles 75.49, 75.49, 56.92 degrees
With the nearest neighbours (Å) after each atom.
Positions (direct):
Ag 0.4792 0.5208 0.2500  3 Cl 2.51-2.59
Ag 0.5208 0.4792 0.7500  3 Cl 2.51-2.59
Rh 0.0000 0.0000 0.0000  6 Cl 2.31-2.39
Rh 0.0000 0.0000 0.5000  6 Cl 2.31-2.39
Cl 0.0115 0.6643 0.1134  1 Rh 2.31
Cl 0.1789 0.6084 0.4882  1 Rh 2.36, 1 Ag 2.51
Cl 0.6643 0.0115 0.6134  1 Rh 2.31
Cl 0.8625 0.1375 0.2500  2 Rh 2.39, 1 Ag 2.59
Cl 0.3916 0.8211 0.0118  1 Rh 2.36, 1 Ag 2.51
Cl 0.6084 0.1789 0.9882  1 Rh 2.36, 1 Ag 2.51
Cl 0.1375 0.8625 0.7500  2 Rh 2.39, 1 Ag 2.59
Cl 0.3357 0.9885 0.3866  1 Rh 2.31
Cl 0.8211 0.3916 0.5118  1 Rh 2.36, 1 Ag 2.51
Cl 0.9885 0.3357 0.8866  1 Rh 2.31

Results
The space-group type is No. 15. The calculation puts the uncorrected formation energy at -0.381 eV per atom. Its uncorrected energy is -3.16 eV/atom.

Entry 3:
## Ca2Sb4PdAu3 (PBE-GGA)

Data for an optimized crystal structure of Ca2Sb4PdAu3.

Cell lengths 4.5832, 4.5832, 11.8974 Å; angles 90.00, 90.00, 90.00 degrees
With the nearest neighbours (Å) after each atom.
Positions (direct):
Ca 0.5000 0.0000 0.2830  4 Sb 3.41, 2 Pd 3.45, 6 Au 3.45-3.61
Ca 0.0000 0.5000 0.7170  4 Sb 3.41, 2 Pd 3.45, 6 Au 3.45-3.61
Sb 0.5000 0.5000 0.0000  4 Au 2.90, 4 Sb 3.24
Sb 0.0000 0.0000 0.0000  4 Au 2.90, 4 Sb 3.24
Sb 0.5000 0.0000 0.6287  3 Au 2.64-2.76, 2 Pd 2.76
Sb 0.0000 0.5000 0.3713  3 Au 2.64-2.76, 2 Pd 2.76
Pd 0.5000 0.5000 0.5000  4 Sb 2.76
Au 0.0000 0.0000 0.5000  4 Sb 2.76
Au 0.5000 0.0000 0.8506  5 Sb 2.64-2.90
Au 0.0000 0.5000 0.1494  5 Sb 2.64-2.90

Results
The space-group type is No. 115. The calculation puts the uncorrected formation energy at -0.498 eV per atom. Its uncorrected energy is -4.05 eV/atom.

Entry 4:
## LiCd2Ga2 (PBE-GGA)

Data for an optimized crystal structure of LiCd2Ga2.

Cell lengths 3.9509, 3.9509, 7.4103 Å; angles 74.54, 74.54, 90.00 degrees
With the nearest neighbours (Å) after each atom.
Positions (direct):
Li 0.0000 0.0000 0.0000  8 Cd 3.11
Ga 0.7500 0.2500 0.5000  4 Ga 2.79, 4 Cd 2.86
Ga 0.2500 0.7500 0.5000  4 Ga 2.79, 4 Cd 2.86
Cd 0.4003 0.4003 0.1993  1 Cd 2.74, 4 Ga 2.86
Cd 0.5997 0.5997 0.8007  1 Cd 2.74, 4 Ga 2.86

Results
The polymorph energy (0 for the lowest one) is 0.0 meV/atom. The space-group type is No. 139. Its uncorrected energy is -1.99 eV/atom. The value obtained for the energy of formation is -0.2 eV per formula unit.

Entry 5:
## Cu2PbAu (PBE-GGA)

Data for an optimized crystal structure of Cu2PbAu.

Cell lengths 4.3586, 4.3621, 3.6737 Å; angles 90.00, 90.00, 90.00 degrees
With the nearest neighbours (Å) after each atom.
Positions (direct):
Au 0.0000 0.5000 0.5000  8 Cu 2.85, 4 Pb 3.08
Cu 0.0000 0.0000 0.0000  4 Pb 2.85, 4 Au 2.85, 4 Cu 3.08
Cu 0.5000 0.5000 0.0000  4 Au 2.85, 4 Pb 2.85, 4 Cu 3.08
Pb 0.5000 0.0000 0.5000  8 Cu 2.85, 4 Au 3.08

Results
The space-group type is No. 123. Its uncorrected energy is -3.62 eV/atom. The value obtained for the energy of formation is 0.7 eV per formula unit.

Entry 6:
## ZnAg5Br8 (PBE-GGA)

Data for an optimized crystal structure of ZnAg5Br8.

Cell lengths 8.0153, 8.0153, 8.0153 Å; angles 107.16, 107.16, 114.20 degrees
With the nearest neighbours (Å) after each atom.
Positions (direct):
Zn 0.2500 0.7500 0.5000  4 Br 2.46
Ag 0.8502 0.3537 0.9730  5 Br 2.77-2.92
Ag 0.6463 0.6193 0.4965  5 Br 2.77-2.92
Ag 0.3807 0.8772 0.0270  5 Br 2.77-2.92
Ag 0.5000 0.5000 0.0000  4 Br 2.71
Ag 0.1228 0.1498 0.5035  5 Br 2.77-2.92
Br 0.1415 0.8451 0.2410  1 Zn 2.46
Br 0.1549 0.3959 0.2964  1 Zn 2.46
Br 0.6868 0.8836 0.3076  4 Ag 2.71-2.92
Br 0.1164 0.4240 0.8032  4 Ag 2.71-2.92
Br 0.6208 0.3132 0.1968  4 Ag 2.71-2.92
Br 0.0995 0.8585 0.7036  1 Zn 2.46
Br 0.6041 0.9005 0.7590  1 Zn 2.46
Br 0.5760 0.3792 0.6924  4 Ag 2.71-2.92

Results
The space-group type is No. 82. The calculation puts the uncorrected formation energy at -0.405 eV per atom. Its uncorrected energy is -2.47 eV/atom.

Entry 7:
## Pr3Y2Ho4 (PBE-GGA)

Data for an optimized crystal structure of Pr3Y2Ho4.

Cell lengths 6.0796, 11.2946, 11.2946 Å; angles 62.80, 64.08, 64.08 degrees
With the nearest neighbours (Å) after each atom.
Positions (direct):
Pr 0.7535 0.0581 0.2739  8 Ho 3.39-3.70, 2 Y 3.57-3.60
Pr 0.7465 0.7261 0.9419  8 Ho 3.39-3.70, 2 Y 3.57-3.60
Pr 0.2465 0.9419 0.7261  8 Ho 3.39-3.70, 2 Y 3.57-3.60
Pr 0.2535 0.2739 0.0581  8 Ho 3.39-3.70, 2 Y 3.57-3.60
Pr 0.2500 0.6128 0.3872  6 Y 3.44-3.69, 4 Ho 3.50-3.64
Pr 0.7500 0.3872 0.6128  6 Y 3.44-3.69, 4 Ho 3.50-3.64
Y 0.4259 0.2546 0.5109  5 Pr 3.44-3.69, 4 Ho 3.44-3.51
Y 0.0741 0.4891 0.7454  5 Pr 3.44-3.69, 4 Ho 3.44-3.51
Y 0.5741 0.7454 0.4891  5 Pr 3.44-3.69, 4 Ho 3.44-3.51
Y 0.9259 0.5109 0.2546  5 Pr 3.44-3.69, 4 Ho 3.44-3.51
Ho 0.4217 0.9211 0.1803  5 Pr 3.39-3.70, 3 Ho 3.43-3.52, 1 Y 3.44
Ho 0.0783 0.8197 0.0789  5 Pr 3.39-3.70, 3 Ho 3.43-3.52, 1 Y 3.44
Ho 0.5783 0.0789 0.8197  5 Pr 3.39-3.70, 3 Ho 3.43-3.52, 1 Y 3.44
Ho 0.9217 0.1803 0.9211  5 Pr 3.39-3.70, 3 Ho 3.43-3.52, 1 Y 3.44
Ho 0.0864 0.1470 0.4145  1 Ho 3.36, 5 Pr 3.42-3.70, 3 Y 3.45-3.51
Ho 0.4136 0.5855 0.8530  1 Ho 3.36, 5 Pr 3.42-3.70, 3 Y 3.45-3.51
Ho 0.9136 0.8530 0.5855  1 Ho 3.36, 5 Pr 3.42-3.70, 3 Y 3.45-3.51
Ho 0.5864 0.4145 0.1470  1 Ho 3.36, 5 Pr 3.42-3.70, 3 Y 3.45-3.51

Results
The polymorph energy (0 for the lowest one) is 0.0 meV/atom. The space-group type is No. 15. Its uncorrected energy is -4.96 eV/atom. The value obtained for the energy of formation is 0.9 eV per formula unit.

Entry 8:
## Er6AgTe3Se2 (PBE-GGA)

Data for an optimized crystal structure of Er6AgTe3Se2.

Cell lengths 7.2752, 7.2752, 7.3569 Å; angles 99.51, 99.51, 119.98 degrees
With the nearest neighbours (Å) after each atom.
Positions (direct):
Er 0.9265 0.5956 0.7762  1 Ag 2.86, 2 Se 2.90, 3 Te 3.08-3.09
Er 0.7454 0.7454 0.2261  1 Ag 2.87, 2 Se 2.89, 3 Te 3.10
Er 0.0735 0.4044 0.2238  1 Ag 2.86, 2 Se 2.90, 3 Te 3.08-3.09
Er 0.5956 0.9265 0.7762  1 Ag 2.86, 2 Se 2.90, 3 Te 3.08-3.09
Er 0.2546 0.2546 0.7739  1 Ag 2.87, 2 Se 2.89, 3 Te 3.10
Er 0.4044 0.0735 0.2238  1 Ag 2.86, 2 Se 2.90, 3 Te 3.08-3.09
Ag 0.0000 0.0000 0.0000  6 Er 2.86-2.87
Te 0.1701 0.8299 0.5000  6 Er 3.08-3.10
Te 0.8299 0.1701 0.5000  6 Er 3.08-3.10
Te 0.5000 0.5000 0.5000  6 Er 3.09-3.10
Se 0.3347 0.6653 0.0000  6 Er 2.89-2.90
Se 0.6653 0.3347 0.0000  6 Er 2.89-2.90

Results
The space-group type is No. 12. The calculation puts the uncorrected formation energy at -1.236 eV per atom. Its uncorrected energy is -5.12 eV/atom.

Entry 9:
## TiGe2Au2 (PBE-GGA)

Data for an optimized crystal structure of TiGe2Au2.

Cell lengths 7.3841, 7.3841, 3.4235 Å; angles 90.00, 90.00, 90.00 degrees
With the nearest neighbours (Å) after each atom.
Positions (direct):
Ge 0.1776 0.6776 0.5000  6 Au 2.62-2.88
Ge 0.6776 0.8224 0.5000  6 Au 2.62-2.88
Ge 0.8224 0.3224 0.5000  6 Au 2.62-2.88
Ge 0.3224 0.1776 0.5000  6 Au 2.62-2.88
Au 0.3676 0.8676 0.0000  6 Ge 2.62-2.88, 1 Au 2.76, 2 Ti 2.89
Au 0.8676 0.6324 0.0000  6 Ge 2.62-2.88, 1 Au 2.76, 2 Ti 2.89
Au 0.6324 0.1324 0.0000  6 Ge 2.62-2.88, 1 Au 2.76, 2 Ti 2.89
Au 0.1324 0.3676 0.0000  6 Ge 2.62-2.88, 1 Au 2.76, 2 Ti 2.89
Ti 0.0000 0.0000 0.0000  4 Au 2.89, 8 Ge 3.21
Ti 0.5000 0.5000 0.0000  4 Au 2.89, 8 Ge 3.21

Results
The space-group type is No. 127. Its uncorrected energy is -4.67 eV/atom. The value obtained for the energy of formation is 0.4 eV per formula unit.

Entry 10:
## Y2InCu (PBE-GGA)

Data for an optimized crystal structure of Y2InCu.

Cell lengths 5.9327, 5.9327, 5.9327 Å; angles 136.66, 136.66, 62.97 degrees
With the nearest neighbours (Å) after each atom.
Positions (direct):
Cu 0.5000 0.5000 0.0000  8 Y 3.10-3.35, 4 In 3.35
In 0.7500 0.2500 0.5000  8 Y 3.10-3.35, 4 Cu 3.35
Y 0.0000 0.0000 0.0000  4 Cu 3.10, 4 In 3.35, 4 Y 3.35
Y 0.2500 0.7500 0.5000  4 In 3.10, 4 Cu 3.35, 4 Y 3.35

Results
The space-group type is No. 119. Its uncorrected energy is -5.10 eV/atom. The value obtained for the energy of formation is -0.6 eV per formula unit.

Entry 11:
## Ce3DyTh2S6 (PBE-GGA)

Data for an optimized crystal structure of Ce3DyTh2S6.

Cell lengths 6.9598, 6.9598, 6.9121 Å; angles 99.65, 99.65, 119.93 degrees
With the nearest neighbours (Å) after each atom.
Positions (direct):
Ce 0.1686 0.8314 0.5000  6 S 2.83-2.87
Ce 0.8314 0.1686 0.5000  6 S 2.83-2.87
Ce 0.5000 0.5000 0.5000  6 S 2.83-2.88
Dy 0.0000 0.0000 0.0000  6 S 2.78-2.79
Th 0.3337 0.6663 0.0000  6 S 2.85
Th 0.6663 0.3337 0.0000  6 S 2.85
S 0.9181 0.5920 0.7533  1 Dy 2.78, 3 Ce 2.83-2.87, 2 Th 2.85
S 0.7575 0.7575 0.2496  1 Dy 2.79, 3 Ce 2.83-2.88, 2 Th 2.85
S 0.0819 0.4080 0.2467  1 Dy 2.78, 3 Ce 2.83-2.87, 2 Th 2.85
S 0.5920 0.9181 0.7533  1 Dy 2.78, 3 Ce 2.83-2.87, 2 Th 2.85
S 0.2425 0.2425 0.7504  1 Dy 2.79, 3 Ce 2.83-2.88, 2 Th 2.85
S 0.4080 0.0819 0.2467  1 Dy 2.78, 3 Ce 2.83-2.87, 2 Th 2.85

Results
The space-group type is No. 12. The calculation puts the uncorrected formation energy at -1.971 eV per atom. Its uncorrected energy is -7.14 eV/atom.

Entry 12:
## HgBIO6 (PBE-GGA)

Data for an optimized crystal structure of HgBIO6.

Cell lengths 5.6857, 5.6369, 6.0243 Å; angles 73.06, 91.97, 55.19 degrees
With the nearest neighbours (Å) after each atom.
Positions (direct):
Hg 0.0129 0.8901 0.9583  2 O 2.06-2.07
B 0.8048 0.7398 0.4480  3 O 1.36-1.41
I 0.3400 0.3085 0.5318  4 O 1.81-2.00
O 0.9248 0.5096 0.3486  1 B 1.41
O 0.3491 0.0420 0.7927  1 I 1.81
O 0.6554 0.2811 0.6808  1 I 1.88, 1 Hg 2.07
O 0.0342 0.6896 0.6009  1 B 1.41
O 0.3668 0.5535 0.2538  1 I 1.91, 1 Hg 2.06
O 0.5118 0.9860 0.3851  1 B 1.36

Results
The space-group type is No. 1. The calculation puts the uncorrected formation energy at -0.695 eV per atom. Its uncorrected energy is -4.95 eV/atom.

Entry 13:
## Li2CdPd2O6 (PBE-GGA)

Data for an optimized crystal structure of Li2CdPd2O6.

Cell lengths 5.4900, 5.4900, 5.3275 Å; angles 100.35, 100.35, 121.00 degrees
With the nearest neighbours (Å) after each atom.
Positions (direct):
Li 0.8277 0.1723 0.0000  2 O 2.05
Li 0.1723 0.8277 0.0000  2 O 2.05
Cd 0.0000 0.0000 0.5000  6 O 2.23-2.33
Pd 0.3363 0.6637 0.5000  6 O 2.04-2.09
Pd 0.6637 0.3363 0.5000  6 O 2.04-2.09
O 0.7259 0.7259 0.7272  2 Pd 2.08, 1 Cd 2.23
O 0.0689 0.4473 0.7258  2 Pd 2.04-2.09, 1 Li 2.05
O 0.2741 0.2741 0.2728  2 Pd 2.08, 1 Cd 2.23
O 0.4473 0.0689 0.7258  2 Pd 2.04-2.09, 1 Li 2.05
O 0.9311 0.5527 0.2742  2 Pd 2.04-2.09, 1 Li 2.05
O 0.5527 0.9311 0.2742  2 Pd 2.04-2.09, 1 Li 2.05

Results
The space-group type is No. 12. The calculation puts the uncorrected formation energy at -0.919 eV per atom. Its uncorrected energy is -5.00 eV/atom.

Entry 14:
## Tm3Th3Sc2 (PBE-GGA)

Data for an optimized crystal structure of Tm3Th3Sc2.

Cell lengths 4.8404, 4.9233, 9.9034 Å; angles 90.00, 90.00, 90.00 degrees
With the nearest neighbours (Å) after each atom.
Positions (direct):
Tm 0.5000 0.0000 0.5000  4 Tm 3.45, 4 Th 3.47, 4 Sc 3.47
Tm 0.0000 0.5000 0.0000  8 Th 3.45-3.48, 4 Sc 3.48
Tm 0.0000 0.5000 0.5000  4 Th 3.44, 4 Tm 3.45, 4 Sc 3.50
Th 0.5000 0.5000 0.7468  6 Tm 3.44-3.48, 4 Sc 3.45, 2 Th 3.51
Th 0.5000 0.5000 0.2532  6 Tm 3.44-3.48, 4 Sc 3.45, 2 Th 3.51
Th 0.5000 0.0000 0.0000  4 Tm 3.45, 4 Sc 3.45, 4 Th 3.51
Sc 0.0000 0.0000 0.7512  6 Th 3.45, 6 Tm 3.47-3.50
Sc 0.0000 0.0000 0.2488  6 Th 3.45, 6 Tm 3.47-3.50

Results
The polymorph energy (0 for the lowest one) is 0.0 meV/atom. The space-group type is No. 47. Its uncorrected energy is -6.01 eV/atom. The value obtained for the energy of formation is 0.3 eV per formula unit.

Entry 15:
## InGaSbTe (PBE-GGA)

Data for an optimized crystal structure of InGaSbTe.

Cell lengths 4.2536, 4.2536, 8.1587 Å; angles 90.02, 90.02, 60.01 degrees
With the nearest neighbours (Å) after each atom.
Positions (direct):
In 0.2390 0.2390 0.1890  1 Ga 2.68, 3 Sb 2.87
Ga 0.2396 0.2396 0.5170  1 In 2.68, 3 Te 2.76
Sb 0.5723 0.5723 0.0077  3 In 2.87
Te 0.9062 0.9062 0.6702  3 Ga 2.76

Results
The space-group type is No. 156. The calculation puts the uncorrected formation energy at -0.054 eV per atom. Its uncorrected energy is -3.31 eV/atom.